<1>
{"formula": "KZrSc", "functional": "PBE", "state": "optimized geometry", "cell": [[3.284, 0.000, 0.000], [-0.001, 6.467, 0.000], [-0.213, -1.707, 8.982]], "species": ["K", "K", "Zr", "Zr", "Sc", "Sc"], "fractional_positions": [[0.236, 0.258, 0.017], [0.764, 0.742, 0.983], [0.257, 0.407, 0.611], [0.743, 0.593, 0.389], [0.258, 0.902, 0.619], [0.742, 0.098, 0.381]], "mass_density_g_cm3": 3.1}

---

<2>
{"formula": "KZrSc", "functional": "PBE", "state": "optimized geometry", "cell": [[0.000, 3.883, 3.883], [3.883, 0.000, 3.883], [3.883, 3.883, 0.000]], "species": ["K", "Zr", "Sc"], "fractional_positions": [[0.000, 0.000, 0.000], [0.500, 0.500, 0.500], [0.250, 0.250, 0.250]], "mass_density_g_cm3": 2.5}

---

<3>
{"formula": "KZrSc", "functional": "PBE", "state": "optimized geometry", "cell": [[13.953, 0.000, 0.000], [0.000, 5.929, 0.000], [0.000, 0.000, 5.245]], "species": ["K", "K", "K", "K", "Zr", "Zr", "Zr", "Zr", "Sc", "Sc", "Sc", "Sc"], "fractional_positions": [[0.235, 0.250, 0.002], [0.265, 0.750, 0.502], [0.735, 0.250, 0.498], [0.765, 0.750, 0.998], [0.025, 0.750, 0.000], [0.475, 0.250, 0.500], [0.525, 0.750, 0.500], [0.975, 0.250, 0.000], [0.000, 0.000, 0.500], [0.000, 0.500, 0.500], [0.500, 0.000, 0.000], [0.500, 0.500, 0.000]], "mass_density_g_cm3": 2.7}

---

<4>
{"formula": "KZrSc", "functional": "PBE", "state": "optimized geometry", "cell": [[5.922, 0.000, 0.000], [-2.961, 5.128, 0.000], [0.000, 0.000, 10.369]], "species": ["K", "K", "Zr", "Zr", "Sc", "Sc"], "fractional_positions": [[0.333, 0.667, 0.250], [0.667, 0.333, 0.750], [0.000, 0.000, 0.000], [0.000, 0.000, 0.500], [0.000, 0.000, 0.250], [0.000, 0.000, 0.750]], "mass_density_g_cm3": 1.8}

---

Which one is most stable, and which one is least stable? <1> is the most stable of them, while <4> is the least stable.

---

<1>
{"formula": "KZrSc", "functional": "PBE", "state": "optimized geometry", "cell": [[-1.646, 1.646, 8.726], [1.646, -1.646, 8.726], [1.646, 1.646, -8.726]], "species": ["K", "Zr", "Sc"], "fractional_positions": [[0.000, 0.000, 0.000], [0.688, 0.688, 0.000], [0.303, 0.303, 0.000]], "mass_density_g_cm3": 3.1}

---

<2>
{"formula": "KZrSc", "functional": "PBE", "state": "optimized geometry", "cell": [[3.306, 0.000, 0.000], [0.000, 5.106, 0.000], [-1.538, 0.000, 12.571]], "species": ["K", "K", "Zr", "Zr", "Sc", "Sc"], "fractional_positions": [[0.000, 0.000, 0.000], [0.334, 0.500, 0.722], [0.140, 0.000, 0.302], [0.735, 0.000, 0.505], [0.199, 0.500, 0.428], [0.598, 0.500, 0.211]], "mass_density_g_cm3": 2.7}

---

<3>
{"formula": "KZrSc", "functional": "PBE", "state": "optimized geometry", "cell": [[4.346, 0.000, 0.000], [0.000, 4.380, 0.000], [-0.043, -2.110, 12.460]], "species": ["K", "K", "Zr", "Zr", "Sc", "Sc"], "fractional_positions": [[0.000, 0.000, 0.000], [0.496, 0.352, 0.709], [0.006, 0.640, 0.273], [0.008, 0.217, 0.434], [0.506, 0.135, 0.263], [0.508, 0.723, 0.446]], "mass_density_g_cm3": 2.5}

---

Which one is most stable, and which one is least stable? <3> is the most stable of them, while <1> is the least stable.

---

<1>
{"formula": "KZrSc", "functional": "PBE", "state": "optimized geometry", "cell": [[5.291, 0.000, 0.000], [-2.645, 4.582, 0.000], [0.000, 0.000, 7.648]], "species": ["K", "K", "Zr", "Zr", "Sc", "Sc"], "fractional_positions": [[0.333, 0.667, 0.002], [0.667, 0.333, 0.998], [0.000, 0.000, 0.327], [0.000, 0.000, 0.673], [0.333, 0.667, 0.501], [0.667, 0.333, 0.499]], "mass_density_g_cm3": 3.1}

---

<2>
{"formula": "KZrSc", "functional": "PBE", "state": "optimized geometry", "cell": [[2.883, -1.669, 0.000], [2.883, 1.669, 0.000], [-1.837, 0.000, 9.439]], "species": ["K", "Zr", "Sc"], "fractional_positions": [[0.000, 0.000, 0.000], [0.220, 0.220, 0.632], [0.473, 0.473, 0.378]], "mass_density_g_cm3": 3.2}

---

Which one is most stable, and which one is least stable? <2> is the most stable of them, while <1> is the least stable.